No. 1
A crystal of Zn3NiAu relaxed with PBEsol. Source: Alexandria, functional meta-GGA SCAN.

The structure in POSCAR format:
```
Zn3NiAu
1.0
-2.628 -3.834 -0.845
3.894 -2.674 0.024
-0.498 -0.683 4.648
Zn Ni Au
3 1 1
direct
0.000 0.500 0.000 Zn
0.000 0.000 0.500 Zn
0.500 0.000 0.000 Zn
0.500 0.500 0.500 Ni
0.000 0.000 0.000 Au
```

- Uncorrected energy: -24.4728 eV/atom
- DOS at the Fermi energy: 1.290 states/eV per atom
- ΔH_f (0 K): 0.70 eV/atom
- Magnetic moment: 0.19 μB per atom
- Space-group type: No. 221

No. 2
A crystal of Nb3PbS6 relaxed with PBEsol. Source: Alexandria, functional meta-GGA SCAN.

The structure in POSCAR format:
```
Nb3PbS6
1.0
5.774 0.000 0.000
-2.887 5.001 0.000
0.000 0.000 14.760
S Nb Pb
12 6 2
direct
0.663 0.663 0.645 S
0.663 0.663 0.855 S
0.000 0.663 0.355 S
0.000 0.337 0.645 S
0.663 0.000 0.145 S
0.663 0.000 0.355 S
0.337 0.337 0.145 S
0.000 0.337 0.855 S
0.337 0.000 0.855 S
0.337 0.337 0.355 S
0.000 0.663 0.145 S
0.337 0.000 0.645 S
0.000 0.000 0.750 Nb
0.000 0.000 0.250 Nb
0.333 0.667 0.250 Nb
0.667 0.333 0.250 Nb
0.333 0.667 0.750 Nb
0.667 0.333 0.750 Nb
0.000 0.000 0.500 Pb
0.000 0.000 0.000 Pb
```

- Uncorrected energy: -24.4476 eV/atom
- DOS at the Fermi energy: 0.321 states/eV per atom
- Magnetic moment: 0.00 μB per atom
- Space-group type: No. 193